# 1
{
  "formula": "ScTl3Ag",
  "functional": "PBE-GGA",
  "state": "optimized geometry",
  "total_energy_ev_per_cell": -13.95,
  "ef_ev_per_atom": 0.47,
  "magmom_total_mub_per_cell": 0.00,
  "crystal_system": "cubic",
  "cell": [[5.3908, 0.0000, 0.0000], [0.0000, 5.3908, 0.0000], [0.0000, 0.0000, 5.3908]],
  "species": ["Sc", "Tl", "Tl", "Tl", "Ag"],
  "fractional_positions": [[0.0000, 0.0000, 0.0000], [0.0000, 0.5000, 0.5000], [0.5000, 0.0000, 0.5000], [0.5000, 0.5000, 0.0000], [0.5000, 0.5000, 0.5000]]
}

# 2
{
  "formula": "NaDyEr4Se8",
  "functional": "PBE-GGA",
  "state": "optimized geometry",
  "total_energy_ev_per_cell": -76.73,
  "formation_energy_uncorrected_ev_per_atom": -1.76,
  "magmom_total_mub_per_cell": 0.00,
  "crystal_system": "trigonal",
  "cell": [[4.1973, 2.4233, 6.8826], [-4.1973, 2.4233, 6.8826], [0.0000, -4.8466, 6.8826]],
  "species": ["Na", "Dy", "Er", "Er", "Er", "Er", "Se", "Se", "Se", "Se", "Se", "Se", "Se", "Se"],
  "fractional_positions": [[0.0000, 0.0000, 0.0000], [0.3691, 0.3691, 0.3691], [0.3692, 0.3692, 0.8892], [0.3692, 0.8892, 0.3692], [0.7490, 0.7490, 0.7490], [0.8892, 0.3692, 0.3692], [0.1329, 0.1329, 0.5946], [0.1329, 0.5946, 0.1329], [0.1345, 0.1345, 0.1345], [0.1479, 0.6172, 0.6172], [0.5946, 0.1329, 0.1329], [0.6160, 0.6160, 0.6160], [0.6172, 0.1479, 0.6172], [0.6172, 0.6172, 0.1479]]
}

# 3
{
  "formula": "LaY2Zr",
  "functional": "PBE-GGA",
  "state": "optimized geometry",
  "total_energy_ev_per_cell": -25.72,
  "ef_ev_per_atom": 0.17,
  "magmom_total_mub_per_cell": 0.00,
  "crystal_system": "tetragonal",
  "cell": [[4.0727, 0.0000, 0.0000], [0.0000, 4.0727, 0.0000], [0.0000, 0.0000, 7.3978]],
  "species": ["La", "Y", "Y", "Zr"],
  "fractional_positions": [[0.0000, 0.0000, 0.0000], [0.0000, 0.0000, 0.5498], [0.5000, 0.5000, 0.2859], [0.5000, 0.5000, 0.7612]]
}

# 4
{
  "formula": "Cd2CuRe2",
  "functional": "PBE-GGA",
  "state": "optimized geometry",
  "total_energy_ev_per_cell": -52.07,
  "ef_ev_per_atom": 0.96,
  "magmom_total_mub_per_cell": 0.00,
  "crystal_system": "tetragonal",
  "cell": [[8.2850, 0.0000, 0.0000], [0.0000, 8.2850, 0.0000], [0.0000, 0.0000, 2.7950]],
  "species": ["Cd", "Cd", "Cd", "Cd", "Cu", "Cu", "Re", "Re", "Re", "Re"],
  "fractional_positions": [[0.1921, 0.3079, 0.0000], [0.3079, 0.8079, 0.0000], [0.6921, 0.1921, 0.0000], [0.8079, 0.6921, 0.0000], [0.0000, 0.0000, 0.0000], [0.5000, 0.5000, 0.0000], [0.1000, 0.6000, 0.5000], [0.4000, 0.1000, 0.5000], [0.6000, 0.9000, 0.5000], [0.9000, 0.4000, 0.5000]]
}

# 5
{
  "formula": "ScPbBr2",
  "functional": "PBE-GGA",
  "state": "optimized geometry",
  "total_energy_ev_per_cell": -14.88,
  "formation_energy_uncorrected_ev_per_atom": -0.37,
  "magmom_total_mub_per_cell": 0.00,
  "crystal_system": "orthorhombic",
  "cell": [[3.3635, -4.5934, 0.0000], [3.3635, 4.5934, 0.0000], [0.0000, 0.0000, 3.4752]],
  "species": ["Sc", "Pb", "Br", "Br"],
  "fractional_positions": [[0.0000, 0.0000, 0.0000], [0.5000, 0.5000, 0.0000], [0.0000, 0.5000, 0.5000], [0.5000, 0.0000, 0.5000]]
}

# 6
{
  "formula": "Mg2ScTaCl",
  "functional": "PBE-GGA",
  "state": "optimized geometry",
  "total_energy_ev_per_cell": -19.61,
  "formation_energy_uncorrected_ev_per_atom": 0.72,
  "magmom_total_mub_per_cell": 0.31,
  "crystal_system": "tetragonal",
  "cell": [[5.4806, 0.0000, 0.0000], [0.0000, 5.4806, 0.0000], [0.0000, 0.0000, 4.5677]],
  "species": ["Mg", "Mg", "Sc", "Ta", "Cl"],
  "fractional_positions": [[0.0000, 0.5000, 0.0000], [0.5000, 0.0000, 0.0000], [0.0000, 0.0000, 0.5000], [0.5000, 0.5000, 0.0000], [0.5000, 0.5000, 0.5000]]
}

# 7
{
  "formula": "Pa3Ta",
  "functional": "PBE-GGA",
  "state": "optimized geometry",
  "total_energy_ev_per_cell": -39.71,
  "ef_ev_per_atom": 0.16,
  "magmom_total_mub_per_cell": 0.00,
  "crystal_system": "tetragonal",
  "cell": [[5.4379, 0.0000, 0.0000], [0.0000, 5.4379, 0.0000], [0.0000, 0.0000, 3.1409]],
  "species": ["Pa", "Pa", "Pa", "Ta"],
  "fractional_positions": [[0.0000, 0.0000, 0.0000], [0.0000, 0.5000, 0.5000], [0.5000, 0.0000, 0.5000], [0.5000, 0.5000, 0.0000]]
}

# 8
{
  "formula": "K2RbRu",
  "functional": "PBE-GGA",
  "state": "optimized geometry",
  "total_energy_ev_per_cell": -14.79,
  "ef_ev_per_atom": 1.26,
  "magmom_total_mub_per_cell": 4.03,
  "crystal_system": "tetragonal",
  "cell": [[-4.6786, 4.6786, 7.2902], [4.6786, -4.6786, 7.2902], [4.6786, 4.6786, -7.2902]],
  "species": ["K", "K", "K", "K", "Rb", "Rb", "Ru", "Ru"],
  "fractional_positions": [[0.0000, 0.0000, 0.0000], [0.0000, 0.0000, 0.5000], [0.0000, 0.5000, 0.0000], [0.5000, 0.0000, 0.5000], [0.3750, 0.6250, 0.7500], [0.6250, 0.3750, 0.2500], [0.1250, 0.8750, 0.2500], [0.8750, 0.1250, 0.7500]]
}